No. 1
PmNdErCd, optimized geometry, DFT PBE; SG = No. 99; DOS(E_F) = 1.181 states/eV per atom; E above lowest polymorph = 0.00 eV/f.u.; ΔE_f = -146 meV per atom
1.0
3.675 0.000 0.000
0.000 3.675 0.000
0.000 0.000 9.002
Pm Nd Er Cd
1 1 1 1
Cartesian
0.000 0.000 0.000 Pm
1.837 1.837 2.565 Nd
0.000 0.000 5.030 Er
1.837 1.837 6.903 Cd

***

No. 2
PmNdErCd, optimized geometry, DFT PBE; SG = No. 216; DOS(E_F) = 1.339 states/eV per atom; E above lowest polymorph = 0.39 eV/f.u.; ΔE_f = -49 meV per atom
1.0
0.000 3.914 3.914
3.914 0.000 3.914
3.914 3.914 0.000
Pm Nd Er Cd
1 1 1 1
Cartesian
0.000 0.000 0.000 Pm
3.914 3.914 3.914 Nd
1.957 1.957 1.957 Er
5.871 5.871 5.871 Cd

***

No. 3
NdErPuCd, optimized geometry, DFT PBE; SG = No. 216; DOS(E_F) = 3.718 states/eV per atom; ΔE_f = 78 meV per atom
1.0
0.000 3.853 3.853
3.853 0.000 3.853
3.853 3.853 0.000
Nd Er Pu Cd
1 1 1 1
Cartesian
0.000 0.000 0.000 Nd
3.853 3.853 3.853 Er
5.780 5.780 5.780 Pu
1.927 1.927 1.927 Cd

***

No. 4
NdErCdRu, optimized geometry, DFT PBE; SG = No. 216; DOS(E_F) = 0.826 states/eV per atom; E above lowest polymorph = 0.43 eV/f.u.; ΔE_f = -227 meV per atom
1.0
0.000 3.603 3.603
3.603 0.000 3.603
3.603 3.603 0.000
Nd Er Cd Ru
1 1 1 1
Cartesian
0.000 0.000 0.000 Nd
3.603 3.603 3.603 Er
5.405 5.405 5.405 Cd
1.802 1.802 1.802 Ru

***

No. 5
NdErCdRu, optimized geometry, DFT PBE; SG = No. 99; DOS(E_F) = 0.947 states/eV per atom; E above lowest polymorph = 0.00 eV/f.u.; ΔE_f = -335 meV per atom
1.0
3.502 0.000 0.000
0.000 3.502 0.000
0.000 0.000 7.777
Nd Er Cd Ru
1 1 1 1
Cartesian
0.000 0.000 0.000 Nd
0.000 0.000 4.419 Er
1.751 1.751 2.340 Cd
1.751 1.751 5.988 Ru

***

No. 6
NdErSc2Cd4, optimized geometry, DFT PBE; SG = No. 166; DOS(E_F) = 1.008 states/eV per atom; ΔE_f = -287 meV per atom
1.0
2.591 1.496 8.501
-2.591 1.496 8.501
0.000 -2.992 8.501
Nd Er Sc Cd
1 1 2 4
Cartesian
0.000 0.000 0.000 Nd
0.000 0.000 12.751 Er
0.000 0.000 6.348 Sc
0.000 0.000 19.154 Sc
0.000 0.000 3.237 Cd
0.000 0.000 9.629 Cd
0.000 0.000 15.873 Cd
0.000 0.000 22.265 Cd

***

No. 7
NdErScCd, optimized geometry, DFT PBE; SG = No. 216; DOS(E_F) = 1.294 states/eV per atom; ΔE_f = -45 meV per atom
1.0
0.000 3.808 3.808
3.808 0.000 3.808
3.808 3.808 0.000
Nd Er Sc Cd
1 1 1 1
Cartesian
0.000 0.000 0.000 Nd
3.808 3.808 3.808 Er
1.904 1.904 1.904 Sc
5.712 5.712 5.712 Cd

***

No. 8
NdErTm2Cd4, optimized geometry, DFT PBE; SG = No. 166; DOS(E_F) = 0.977 states/eV per atom; ΔE_f = -308 meV per atom
1.0
2.645 1.527 8.658
-2.645 1.527 8.658
0.000 -3.054 8.658
Nd Er Tm Cd
1 1 2 4
Cartesian
0.000 0.000 0.000 Nd
0.000 0.000 12.987 Er
0.000 0.000 6.465 Tm
0.000 0.000 19.510 Tm
0.000 0.000 3.286 Cd
0.000 0.000 9.793 Cd
0.000 0.000 16.182 Cd
0.000 0.000 22.688 Cd

***

No. 9
NdErZnCd, optimized geometry, DFT PBE; SG = No. 216; DOS(E_F) = 1.209 states/eV per atom; E above lowest polymorph = 0.12 eV/f.u.; ΔE_f = -294 meV per atom
1.0
0.000 3.711 3.711
3.711 0.000 3.711
3.711 3.711 0.000
Nd Er Zn Cd
1 1 1 1
Cartesian
0.000 0.000 0.000 Nd
3.711 3.711 3.711 Er
1.855 1.855 1.855 Zn
5.566 5.566 5.566 Cd

***

No. 10
NdErZnCd, optimized geometry, DFT PBE; SG = No. 99; DOS(E_F) = 0.992 states/eV per atom; E above lowest polymorph = 0.00 eV/f.u.; ΔE_f = -324 meV per atom
1.0
3.624 0.000 0.000
0.000 3.624 0.000
0.000 0.000 7.688
Nd Er Zn Cd
1 1 1 1
Cartesian
0.000 0.000 0.000 Nd
0.000 0.000 3.542 Er
1.812 1.812 1.929 Zn
1.812 1.812 5.478 Cd

***

No. 11
Er12CdNi5, optimized geometry, DFT PBE; SG = No. 71; DOS(E_F) = 1.068 states/eV per atom; ΔE_f = -329 meV per atom
1.0
-4.640 4.702 4.898
4.640 -4.702 4.898
4.640 4.702 -4.898
Er Cd Ni
12 1 5
Cartesian
4.640 2.916 -2.758 Er
2.681 1.707 0.000 Er
6.599 1.707 0.000 Er
1.807 4.702 -1.733 Er
2.833 0.000 3.165 Er
0.000 1.785 2.140 Er
4.640 2.916 2.758 Er
1.807 4.702 1.733 Er
2.833 0.000 6.631 Er
-1.959 2.995 4.898 Er
1.959 2.995 4.898 Er
0.000 1.785 7.655 Er
0.000 0.000 4.898 Cd
0.000 0.000 0.000 Ni
4.640 0.000 1.200 Ni
0.000 3.387 0.000 Ni
0.000 6.016 0.000 Ni
0.000 4.702 3.698 Ni

***

No. 12
Er3CdNi4, optimized geometry, DFT PBE; SG = No. 71; DOS(E_F) = 0.422 states/eV per atom; ΔE_f = -254 meV per atom
1.0
-1.850 2.929 7.307
1.850 -2.929 7.307
1.850 2.929 -7.307
Er Cd Ni
3 1 4
Cartesian
0.000 0.000 0.000 Er
1.850 0.000 4.480 Er
0.000 2.929 2.827 Er
0.000 0.000 7.307 Cd
1.850 1.142 -1.876 Ni
1.850 1.142 1.876 Ni
0.000 1.787 5.431 Ni
0.000 1.787 9.183 Ni

***

The records above yield calculated density values of 7.771; 7.879; 9.692; 9.316; 9.138; 7.149; 7.048; 8.696; 7.951; 8.046; 9.375; 8.902 Mg/m³, respectively.
The records above yield size of the total moment values of 0.000; 0.000; 6.556; 0.000; 0.000; 0.578; 0.066; 0.001; 0.015; 0.001; 0.000; 0.000 μB per cell, respectively.